1.
VASP calculation (PBE) on a geometry-optimized Pr4Sm2Pb3N2 structure.

Properties
Raw total energy   -5.93 eV per atom

Lattice parameters (Å, degrees): 4.932 4.932 26.216 90.00 90.00 90.00
Space group I4/mmm (No. 139)
Inequivalent atoms, fractional coordinates:
Pr: 0.000 0.500 0.085 (multiplicity 8)
Sm: 0.000 0.000 0.193 (multiplicity 4)
Pb: 0.000 0.000 0.321 (multiplicity 4)
Pb: 0.000 0.000 0.500 (multiplicity 2)
N: 0.000 0.000 0.106 (multiplicity 4)

=====

2.
VASP calculation (PBE) on a geometry-optimized Tb2Pr4Pb3N2 structure.

Properties
Raw total energy   -5.91 eV per atom

Lattice parameters (Å, degrees): 4.921 4.921 25.974 90.00 90.00 90.00
Space group I4/mmm (No. 139)
Inequivalent atoms, fractional coordinates:
Tb: 0.000 0.000 0.193 (multiplicity 4)
Pr: 0.000 0.500 0.086 (multiplicity 8)
Pb: 0.000 0.000 0.319 (multiplicity 4)
Pb: 0.000 0.000 0.500 (multiplicity 2)
N: 0.000 0.000 0.108 (multiplicity 4)

=====

3.
VASP calculation (PBE) on a geometry-optimized Pr2Th4Pb3N2 structure.

Properties
Raw total energy   -6.85 eV per atom

Lattice parameters (Å, degrees): 4.849 4.849 26.844 90.00 90.00 90.00
Space group I4/mmm (No. 139)
Inequivalent atoms, fractional coordinates:
Pr: 0.000 0.000 0.196 (multiplicity 4)
Th: 0.000 0.500 0.084 (multiplicity 8)
Pb: 0.000 0.000 0.322 (multiplicity 4)
Pb: 0.000 0.000 0.500 (multiplicity 2)
N: 0.000 0.000 0.099 (multiplicity 4)

=====

Number 1: formation energy (no corrections) -812 meV per atom. Number 2: formation energy (no corrections) -807 meV per atom. Number 3: formation energy (no corrections) -762 meV per atom.